Record 1
Here is a geometry-optimized YCoCu2Si structure from the Alexandria database. Energies are from PBE.

## Properties
The value obtained for the formation energy (no corrections) is 1.737 eV per atom. The crystal system is tetragonal. Its volume is 128.6 Å³/cell. As for the space group: No. 123. Its magnetization is 1.9 Bohr magnetons per cell.

```
data_YCoCu2Si
_chemical_formula_sum 'Y1 Co1 Cu2 Si1'
_cell_length_a 4.938
_cell_length_b 4.938
_cell_length_c 5.275
_cell_angle_alpha 90.00
_cell_angle_beta 90.00
_cell_angle_gamma 90.00
_symmetry_space_group_name_H-M 'P 1'
_symmetry_Int_Tables_number 1
_symmetry_space_group_name_Hall 'P 1'
loop_
_atom_site_label
_atom_site_fract_x
_atom_site_fract_y
_atom_site_fract_z
_atom_site_occupancy
Y1 0.000 0.000 0.000 1
Co1 0.500 0.500 0.500 1
Cu1 0.000 0.500 0.000 1
Cu2 0.500 0.000 0.000 1
Si1 0.000 0.000 0.500 1
```

Record 2
Here is a geometry-optimized Ta2PtAu structure from the Alexandria database. Energies are from PBE.

## Properties
The crystal system is orthorhombic. Its volume is 69.7 Å³/cell. As for the space group: No. 25. Its magnetization is 0.0 Bohr magnetons per cell.

```
data_Ta2PtAu
_chemical_formula_sum 'Ta2 Pt1 Au1'
_cell_length_a 3.277
_cell_length_b 3.513
_cell_length_c 6.050
_cell_angle_alpha 90.00
_cell_angle_beta 90.00
_cell_angle_gamma 90.00
_symmetry_space_group_name_H-M 'P 1'
_symmetry_Int_Tables_number 1
_symmetry_space_group_name_Hall 'P 1'
loop_
_atom_site_label
_atom_site_fract_x
_atom_site_fract_y
_atom_site_fract_z
_atom_site_occupancy
Ta1 0.000 0.000 0.000 1
Ta2 0.500 0.500 0.281 1
Pt1 0.500 0.500 0.784 1
Au1 0.000 0.000 0.519 1
```

Record 3
Here is a geometry-optimized Cd5In structure from the Alexandria database. Energies are from PBE.

## Properties
The crystal system is cubic. Its volume is 147.3 Å³/cell. As for the space group: No. 216. Its magnetization is 0.0 Bohr magnetons per cell.

```
data_Cd5In
_chemical_formula_sum 'Cd5 In1'
_cell_length_a 5.928
_cell_length_b 5.928
_cell_length_c 5.928
_cell_angle_alpha 60.00
_cell_angle_beta 60.00
_cell_angle_gamma 60.00
_symmetry_space_group_name_H-M 'P 1'
_symmetry_Int_Tables_number 1
_symmetry_space_group_name_Hall 'P 1'
loop_
_atom_site_label
_atom_site_fract_x
_atom_site_fract_y
_atom_site_fract_z
_atom_site_occupancy
Cd1 0.000 0.000 0.000 1
Cd2 0.375 0.375 0.375 1
Cd3 0.375 0.375 0.876 1
Cd4 0.375 0.876 0.375 1
Cd5 0.876 0.375 0.375 1
In1 0.750 0.750 0.750 1
```

Record 4
Here is a geometry-optimized CoTcAg2 structure from the Alexandria database. Energies are from PBE.

## Properties
The crystal system is cubic. Its volume is 60.6 Å³/cell. As for the space group: No. 225. Its magnetization is 0.0 Bohr magnetons per cell.

```
data_CoTcAg2
_chemical_formula_sum 'Co1 Tc1 Ag2'
_cell_length_a 4.409
_cell_length_b 4.409
_cell_length_c 4.409
_cell_angle_alpha 60.00
_cell_angle_beta 60.00
_cell_angle_gamma 60.00
_symmetry_space_group_name_H-M 'P 1'
_symmetry_Int_Tables_number 1
_symmetry_space_group_name_Hall 'P 1'
loop_
_atom_site_label
_atom_site_fract_x
_atom_site_fract_y
_atom_site_fract_z
_atom_site_occupancy
Co1 0.000 0.000 0.000 1
Tc1 0.500 0.500 0.500 1
Ag1 0.250 0.250 0.250 1
Ag2 0.750 0.750 0.750 1
```

Record 5
Here is a geometry-optimized Al2ZnNi2 structure from the Alexandria database. Energies are from PBE.

## Properties
The crystal system is trigonal. Its volume is 69.8 Å³/cell. As for the space group: No. 164. Its magnetization is 0.0 Bohr magnetons per cell.

```
data_Al2ZnNi2
_chemical_formula_sum 'Al2 Zn1 Ni2'
_cell_length_a 4.056
_cell_length_b 4.056
_cell_length_c 4.898
_cell_angle_alpha 90.00
_cell_angle_beta 90.00
_cell_angle_gamma 120.00
_symmetry_space_group_name_H-M 'P 1'
_symmetry_Int_Tables_number 1
_symmetry_space_group_name_Hall 'P 1'
loop_
_atom_site_label
_atom_site_fract_x
_atom_site_fract_y
_atom_site_fract_z
_atom_site_occupancy
Al1 0.333 0.667 0.348 1
Al2 0.667 0.333 0.652 1
Zn1 0.000 0.000 0.000 1
Ni1 0.333 0.667 0.848 1
Ni2 0.667 0.333 0.152 1
```

Record 6
Here is a geometry-optimized Pu3NpTl4O12 structure from the Alexandria database. Energies are from PBE.

## Properties
The value obtained for the formation energy (no corrections) is -2.213 eV per atom. The crystal system is cubic. Its volume is 323.1 Å³/cell. As for the space group: No. 229. Its magnetization is 11.0 Bohr magnetons per cell.

```
data_Pu3NpTl4O12
_chemical_formula_sum 'Pu3 Np1 Tl4 O12'
_cell_length_a 7.488
_cell_length_b 7.488
_cell_length_c 7.488
_cell_angle_alpha 109.47
_cell_angle_beta 109.47
_cell_angle_gamma 109.47
_symmetry_space_group_name_H-M 'P 1'
_symmetry_Int_Tables_number 1
_symmetry_space_group_name_Hall 'P 1'
loop_
_atom_site_label
_atom_site_fract_x
_atom_site_fract_y
_atom_site_fract_z
_atom_site_occupancy
Pu1 0.000 0.500 0.500 1
Pu2 0.500 0.000 0.500 1
Pu3 0.500 0.500 0.000 1
Np1 0.000 0.000 0.000 1
Tl1 0.000 0.000 0.500 1
Tl2 0.000 0.500 0.000 1
Tl3 0.500 0.000 0.000 1
Tl4 0.500 0.500 0.500 1
O1 0.000 0.243 0.243 1
O2 0.000 0.757 0.757 1
O3 0.243 0.000 0.243 1
O4 0.243 0.243 0.000 1
O5 0.250 0.500 0.750 1
O6 0.250 0.750 0.500 1
O7 0.500 0.250 0.750 1
O8 0.500 0.750 0.250 1
O9 0.750 0.250 0.500 1
O10 0.750 0.500 0.250 1
O11 0.757 0.000 0.757 1
O12 0.757 0.757 0.000 1
```

Record 7
Here is a geometry-optimized Th2Np2Ni15 structure from the Alexandria database. Energies are from PBE.

## Properties
The crystal system is trigonal. Its volume is 264.1 Å³/cell. As for the space group: No. 166. Its magnetization is 0.0 Bohr magnetons per cell.

```
data_Th2Np2Ni15
_chemical_formula_sum 'Th2 Np2 Ni15'
_cell_length_a 6.479
_cell_length_b 6.479
_cell_length_c 6.479
_cell_angle_alpha 81.65
_cell_angle_beta 81.65
_cell_angle_gamma 81.65
_symmetry_space_group_name_H-M 'P 1'
_symmetry_Int_Tables_number 1
_symmetry_space_group_name_Hall 'P 1'
loop_
_atom_site_label
_atom_site_fract_x
_atom_site_fract_y
_atom_site_fract_z
_atom_site_occupancy
Th1 0.147 0.147 0.147 1
Th2 0.853 0.853 0.853 1
Np1 0.410 0.410 0.410 1
Np2 0.590 0.590 0.590 1
Ni1 0.000 0.500 0.500 1
Ni2 0.159 0.159 0.661 1
Ni3 0.159 0.661 0.159 1
Ni4 0.183 0.500 0.817 1
Ni5 0.183 0.817 0.500 1
Ni6 0.339 0.841 0.841 1
Ni7 0.500 0.000 0.500 1
Ni8 0.500 0.183 0.817 1
Ni9 0.500 0.500 0.000 1
Ni10 0.500 0.817 0.183 1
Ni11 0.661 0.159 0.159 1
Ni12 0.817 0.183 0.500 1
Ni13 0.817 0.500 0.183 1
Ni14 0.841 0.339 0.841 1
Ni15 0.841 0.841 0.339 1
```

Record 8
Here is a geometry-optimized Sc2Be16Fe structure from the Alexandria database. Energies are from PBE.

## Properties
The crystal system is trigonal. Its volume is 181.9 Å³/cell. As for the space group: No. 160. Its magnetization is 0.0 Bohr magnetons per cell.

```
data_Sc2Be16Fe
_chemical_formula_sum 'Sc2 Be16 Fe1'
_cell_length_a 5.701
_cell_length_b 5.701
_cell_length_c 5.701
_cell_angle_alpha 83.45
_cell_angle_beta 83.45
_cell_angle_gamma 83.45
_symmetry_space_group_name_H-M 'P 1'
_symmetry_Int_Tables_number 1
_symmetry_space_group_name_Hall 'P 1'
loop_
_atom_site_label
_atom_site_fract_x
_atom_site_fract_y
_atom_site_fract_z
_atom_site_occupancy
Sc1 0.000 0.000 0.000 1
Sc2 0.324 0.324 0.324 1
Be1 0.008 0.008 0.517 1
Be2 0.008 0.517 0.008 1
Be3 0.162 0.669 0.669 1
Be4 0.324 0.324 0.824 1
Be5 0.324 0.824 0.324 1
Be6 0.386 0.668 0.952 1
Be7 0.386 0.952 0.668 1
Be8 0.517 0.008 0.008 1
Be9 0.568 0.568 0.568 1
Be10 0.668 0.386 0.952 1
Be11 0.668 0.952 0.386 1
Be12 0.669 0.162 0.669 1
Be13 0.669 0.669 0.162 1
Be14 0.824 0.324 0.324 1
Be15 0.952 0.386 0.668 1
Be16 0.952 0.668 0.386 1
Fe1 0.763 0.763 0.763 1
```

Record 9
Here is a geometry-optimized SmHo3Th4 structure from the Alexandria database. Energies are from PBE.

## Properties
The crystal system is monoclinic. Its volume is 267.9 Å³/cell. As for the space group: No. 12. Its magnetization is 0.0 Bohr magnetons per cell.

```
data_SmHo3Th4
_chemical_formula_sum 'Sm1 Ho3 Th4'
_cell_length_a 9.681
_cell_length_b 9.681
_cell_length_c 9.395
_cell_angle_alpha 118.94
_cell_angle_beta 118.94
_cell_angle_gamma 20.46
_symmetry_space_group_name_H-M 'P 1'
_symmetry_Int_Tables_number 1
_symmetry_space_group_name_Hall 'P 1'
loop_
_atom_site_label
_atom_site_fract_x
_atom_site_fract_y
_atom_site_fract_z
_atom_site_occupancy
Sm1 0.000 0.000 0.000 1
Ho1 0.317 0.317 0.817 1
Ho2 0.500 0.500 0.500 1
Ho3 0.683 0.683 0.183 1
Th1 0.150 0.150 0.841 1
Th2 0.151 0.151 0.460 1
Th3 0.849 0.849 0.540 1
Th4 0.850 0.850 0.159 1
```

Record 10
Here is a geometry-optimized SrFe3Se structure from the Alexandria database. Energies are from PBE.

## Properties
The value obtained for the formation energy (no corrections) is 0.412 eV per atom. The crystal system is cubic. Its volume is 95.3 Å³/cell. As for the space group: No. 221. Its magnetization is 6.1 Bohr magnetons per cell.

```
data_SrFe3Se
_chemical_formula_sum 'Sr1 Fe3 Se1'
_cell_length_a 4.568
_cell_length_b 4.568
_cell_length_c 4.568
_cell_angle_alpha 90.00
_cell_angle_beta 90.00
_cell_angle_gamma 90.00
_symmetry_space_group_name_H-M 'P 1'
_symmetry_Int_Tables_number 1
_symmetry_space_group_name_Hall 'P 1'
loop_
_atom_site_label
_atom_site_fract_x
_atom_site_fract_y
_atom_site_fract_z
_atom_site_occupancy
Sr1 0.000 0.000 0.000 1
Fe1 0.000 0.500 0.500 1
Fe2 0.500 0.000 0.500 1
Fe3 0.500 0.500 0.000 1
Se1 0.500 0.500 0.500 1
```

Electronic total energy values, unit Ry per atom, following the record order: -0.2720, -0.6318, -0.0843, -0.3600, -0.3309, -0.6217, -0.5119, -0.3262, -0.4189, -0.4189.